Model i:
This record from the Alexandria database describes a relaxed Ba3LaCo crystal. The functional is PBE.

Space-group type ... Pm-3m
Calculated volume ... 43.1 Å³ per atom

Unit cell a=5.993 b=5.993 c=5.993 alpha=90.00 beta=90.00 gamma=90.00
Sites, in units of the cell vectors:
Ba (0.000, 0.000, 0.500)
Ba (0.000, 0.500, 0.000)
Ba (0.500, 0.000, 0.000)
La (0.500, 0.500, 0.500)
Co (0.000, 0.000, 0.000)

Model ii:
This record from the Alexandria database describes a relaxed Ba3LaCo crystal. The functional is PBE.

Space-group type ... Pm-3m
Calculated volume ... 52.8 Å³ per atom

Unit cell a=6.414 b=6.414 c=6.414 alpha=90.00 beta=90.00 gamma=90.00
Sites, in units of the cell vectors:
Ba (0.000, 0.000, 0.500)
Ba (0.000, 0.500, 0.000)
Ba (0.500, 0.000, 0.000)
La (0.000, 0.000, 0.000)
Co (0.500, 0.500, 0.500)

Which of them is most stable, and which least? Most stable: model i; least stable: model ii.

Model i:
This record from the Alexandria database describes a relaxed Ba2LaCo crystal. The functional is PBE.

Space-group type ... Pm
Calculated volume ... 39.4 Å³ per atom

Unit cell a=4.194 b=3.905 c=9.847 alpha=90.00 beta=102.28 gamma=90.00
Sites, in units of the cell vectors:
Ba (0.000, 0.000, 0.000)
Ba (0.309, 0.500, 0.620)
La (0.647, 0.500, 0.297)
Co (0.160, 0.000, 0.324)

Model ii:
This record from the Alexandria database describes a relaxed Ba2LaCo crystal. The functional is PBE.

Space-group type ... Immm
Calculated volume ... 38.4 Å³ per atom

Unit cell a=10.158 b=10.158 c=10.158 alpha=159.02 beta=155.83 gamma=32.22
Sites, in units of the cell vectors:
Ba (0.156, 0.156, 0.000)
Ba (0.844, 0.844, 0.000)
La (0.500, 0.000, 0.500)
Co (0.000, 0.500, 0.500)

Model iii:
This record from the Alexandria database describes a relaxed Ba2LaCo crystal. The functional is PBE.

Space-group type ... Cmmm
Calculated volume ... 44.4 Å³ per atom

Unit cell a=8.216 b=8.216 c=4.357 alpha=90.00 beta=90.00 gamma=142.84
Sites, in units of the cell vectors:
Ba (0.143, 0.857, 0.000)
Ba (0.857, 0.143, 0.000)
La (0.500, 0.500, 0.500)
Co (0.000, 0.000, 0.500)

Model iv:
This record from the Alexandria database describes a relaxed Ba2LaCo crystal. The functional is PBE.

Space-group type ... P4/mmm
Calculated volume ... 37.1 Å³ per atom

Unit cell a=3.813 b=3.813 c=10.197 alpha=90.00 beta=90.00 gamma=90.00
Sites, in units of the cell vectors:
Ba (0.000, 0.000, 0.182)
Ba (0.000, 0.000, 0.818)
La (0.500, 0.500, 0.500)
Co (0.500, 0.500, 0.000)

Which of them is most stable, and which least? Most stable: model i; least stable: model iv.

Model i:
This record from the Alexandria database describes a relaxed Ba2LaCo crystal. The functional is PBE.

Space-group type ... I4/mmm
Calculated volume ... 34.1 Å³ per atom

Unit cell a=6.895 b=6.895 c=6.895 alpha=139.64 beta=139.64 gamma=58.39
Sites, in units of the cell vectors:
Ba (0.250, 0.750, 0.500)
Ba (0.750, 0.250, 0.500)
La (0.000, 0.000, 0.000)
Co (0.500, 0.500, 0.000)

Model ii:
This record from the Alexandria database describes a relaxed Ba2LaCo crystal. The functional is PBE.

Space-group type ... Imm2
Calculated volume ... 39.0 Å³ per atom

Unit cell a=7.185 b=7.185 c=7.185 alpha=148.51 beta=125.56 gamma=64.26
Sites, in units of the cell vectors:
Ba (0.000, 0.000, 0.000)
Ba (0.670, 0.170, 0.500)
La (0.333, 0.833, 0.500)
Co (0.458, 0.458, 0.000)

Which of them is most stable, and which least? Most stable: model ii; least stable: model i.